BaV3Sn | PBE | optimized geometry

Cell: 4.849 4.849 4.849 Å, 90.00 90.00 90.00°
Last column: magnetic moment on the atom in μB.
Element x y z (fractional)
Ba: 0.000 0.000 0.000  -0.02
Sn: 0.500 0.500 0.500  -0.03
V: 0.000 0.500 0.000  0.60
V: 0.000 0.000 0.500  0.60
V: 0.500 0.000 0.000  0.60

Results
Formation energy from the elements, eV/atom: 2.232

---

BaV3Sn | PBE | optimized geometry

Cell: 5.297 5.297 5.297 Å, 90.00 90.00 90.00°
Last column: magnetic moment on the atom in μB.
Element x y z (fractional)
Ba: 0.500 0.500 0.500  0.21
Sn: 0.000 0.000 0.000  -0.07
V: 0.000 0.500 0.000  2.77
V: 0.000 0.000 0.500  2.77
V: 0.500 0.000 0.000  2.77

Results
Formation energy from the elements, eV/atom: 1.081

---

Ba2VSn2 | PBE | optimized geometry

Cell: 4.273 4.273 10.833 Å, 78.63 78.63 90.00°
Last column: magnetic moment on the atom in μB.
Element x y z (fractional)
Ba: 0.397 0.397 0.206  0.13
Ba: 0.603 0.603 0.794  0.13
Sn: 0.750 0.250 0.500  0.00
Sn: 0.250 0.750 0.500  0.00
V: 0.000 0.000 0.000  3.10

Results
Formation energy from the elements, eV/atom: 0.290

---

BaV2Sn2 | PBE | optimized geometry

Cell: 4.921 4.921 6.217 Å, 66.69 66.69 90.00°
Last column: magnetic moment on the atom in μB.
Element x y z (fractional)
Ba: 0.000 0.000 0.000  0.01
Sn: 0.750 0.250 0.500  0.00
Sn: 0.250 0.750 0.500  0.00
V: 0.409 0.409 0.181  0.20
V: 0.591 0.591 0.819  0.20

Results
Formation energy from the elements, eV/atom: 0.146

---

Ba2V2Sn | PBE | optimized geometry

Cell: 3.502 3.502 11.986 Å, 81.60 81.60 90.00°
Element x y z (fractional)
Ba: 0.388 0.388 0.224
Ba: 0.612 0.612 0.776
Sn: 0.000 0.000 0.000
V: 0.750 0.250 0.500
V: 0.250 0.750 0.500

Results
Formation energy from the elements, eV/atom: 0.395

---

Ba2V2Sn | PBE | optimized geometry

Cell: 9.555 9.555 3.708 Å, 90.00 90.00 90.00°
Last column: magnetic moment on the atom in μB.
Element x y z (fractional)
Ba: 0.353 0.853 0.000  0.19
Ba: 0.853 0.647 0.000  0.19
Ba: 0.647 0.147 0.000  0.19
Ba: 0.147 0.353 0.000  0.19
Sn: 0.000 0.000 0.000  -0.16
Sn: 0.500 0.500 0.000  -0.16
V: 0.157 0.657 0.500  3.03
V: 0.657 0.843 0.500  3.03
V: 0.843 0.343 0.500  3.03
V: 0.343 0.157 0.500  3.03

Results
Formation energy from the elements, eV/atom: 1.020

---

Ba2VZnSn | PBE | optimized geometry

Cell: 6.224 4.962 6.224 Å, 90.00 90.00 90.00°
Last column: magnetic moment on the atom in μB.
Element x y z (fractional)
Zn: 0.000 0.500 0.000  0.08
V: 0.000 0.000 0.000  3.07
Ba: 0.000 0.000 0.500  0.15
Ba: 0.500 0.000 0.000  0.13
Sn: 0.500 0.500 0.500  -0.15

Results
Formation energy from the elements, eV/atom: 0.463

---

BaSnW3 | PBE | optimized geometry

Cell: 5.053 5.053 5.053 Å, 90.00 90.00 90.00°
Element x y z (fractional)
Ba: 0.000 0.000 0.000
W: 0.000 0.500 0.000
W: 0.000 0.000 0.500
W: 0.500 0.000 0.000
Sn: 0.500 0.500 0.500

Results
Formation energy from the elements, eV/atom: 3.652

---

no.,N(E_F) (states/eV/atom)
1,1.7040
2,0.8075
3,0.7241
4,1.0266
5,1.1387
6,1.4078
7,1.2043
8,1.8556